# 1
The following is a PBE calculation of an optimized crystal structure of RbTiNb3, from Alexandria via LeMat-Bulk.

Results
**ΔE_f**: 13.2 eV per formula unit
**Energy relative to the lowest polymorph listed for this composition**: 5.19 eV/f.u.

a b c (Å): 4.797 4.797 4.797
angles (deg): 90.00 90.00 90.00
Site moments in Bohr magnetons follow the coordinates.
Positions (direct):
1 Nb 0.000 0.500 0.000  0.07
2 Nb 0.000 0.000 0.500  0.09
3 Nb 0.500 0.000 0.000  -0.01
4 Rb 0.000 0.000 0.000  0.03
5 Ti 0.500 0.500 0.500  1.00

# 2
The following is a PBE calculation of an optimized crystal structure of PmMgPtAu, from Alexandria via LeMat-Bulk.

Results
**ΔE_f**: -3.3 eV per formula unit

a b c (Å): 4.922 4.922 4.922
angles (deg): 60.00 60.00 60.00
Positions (direct):
1 Mg 0.500 0.500 0.500
2 Au 0.250 0.250 0.250
3 Pt 0.750 0.750 0.750
4 Pm 0.000 0.000 0.000

# 3
The following is a PBE calculation of an optimized crystal structure of NaAc2, from Alexandria via LeMat-Bulk.

Results
**ΔE_f**: 0.6 eV per formula unit
**Energy relative to the lowest polymorph listed for this composition**: 0.27 eV/f.u.

a b c (Å): 7.287 7.288 3.858
angles (deg): 58.13 58.12 50.24
Positions (direct):
1 Na 0.780 0.327 0.238
2 Ac 0.447 0.993 0.627
3 Ac 0.114 0.660 0.845

# 4
The following is a PBE calculation of an optimized crystal structure of KSc2Rh, from Alexandria via LeMat-Bulk.

Results
**ΔE_f**: -1.0 eV per formula unit
**Energy relative to the lowest polymorph listed for this composition**: 0.00 eV/f.u.

a b c (Å): 3.345 3.276 10.498
angles (deg): 71.93 90.00 90.00
Positions (direct):
1 K 0.500 0.250 0.250
2 Rh 0.500 0.750 0.750
3 Sc 0.000 0.100 0.901
4 Sc 0.000 0.400 0.599

# 5
The following is a PBE calculation of an optimized crystal structure of La2Cu3NiPt12, from Alexandria via LeMat-Bulk.

Results
**ΔE_f**: -3.1 eV per formula unit

a b c (Å): 9.392 9.392 9.392
angles (deg): 42.32 42.32 42.32
Positions (direct):
1 La 0.660 0.660 0.660
2 La 0.340 0.340 0.340
3 Cu 0.500 0.000 0.000
4 Cu 0.000 0.500 0.000
5 Cu 0.000 0.000 0.500
6 Ni 0.000 0.000 0.000
7 Pt 0.416 0.416 0.814
8 Pt 0.927 0.927 0.350
9 Pt 0.350 0.927 0.927
10 Pt 0.814 0.416 0.416
11 Pt 0.927 0.350 0.927
12 Pt 0.416 0.814 0.416
13 Pt 0.584 0.584 0.186
14 Pt 0.073 0.073 0.650
15 Pt 0.650 0.073 0.073
16 Pt 0.186 0.584 0.584
17 Pt 0.073 0.650 0.073
18 Pt 0.584 0.186 0.584

# 6
The following is a PBE calculation of an optimized crystal structure of P2AuCl, from Alexandria via LeMat-Bulk.

Results
**Energy relative to the lowest polymorph listed for this composition**: 1.41 eV/f.u.

a b c (Å): 3.702 3.702 6.015
angles (deg): 90.00 90.00 90.00
Positions (direct):
1 Au 0.500 0.500 0.250
2 Cl 0.500 0.500 0.750
3 P 0.000 0.000 0.080
4 P 0.000 0.000 0.420

# 7
The following is a PBE calculation of an optimized crystal structure of MnTe2Pb, from Alexandria via LeMat-Bulk.

Results
**Electronic total energy**: -4.914 eV per atom

a b c (Å): 3.817 3.817 9.129
angles (deg): 77.00 77.00 60.17
Site moments in Bohr magnetons follow the coordinates.
Positions (direct):
1 Mn 0.750 0.750 0.750  3.50
2 Pb 0.250 0.250 0.250  0.03
3 Te 0.018 0.018 0.932  -0.08
4 Te 0.482 0.482 0.568  -0.08

# 8
The following is a PBE calculation of an optimized crystal structure of NiBrCl2, from Alexandria via LeMat-Bulk.

Results
**Energy relative to the lowest polymorph listed for this composition**: 2.97 eV/f.u.

a b c (Å): 3.695 7.366 3.715
angles (deg): 90.00 90.00 90.00
Site moments in Bohr magnetons follow the coordinates.
Positions (direct):
1 Ni 0.500 0.000 0.500  1.02
2 Br 0.000 0.500 0.500  0.00
3 Cl 0.000 0.000 0.000  0.05
4 Cl 0.500 0.500 0.000  0.00

# 9
The following is a PBE calculation of an optimized crystal structure of Y8Sn3Te4Se, from Alexandria via LeMat-Bulk.

Results
**Electronic total energy**: -6.202 eV per atom

a b c (Å): 8.705 8.743 8.705
angles (deg): 119.86 120.00 90.00
Positions (direct):
1 Y 0.244 0.733 0.989
2 Y 0.244 0.733 0.488
3 Y 0.254 0.262 0.508
4 Y 0.746 0.733 0.989
5 Y 0.254 0.267 0.011
6 Y 0.746 0.738 0.492
7 Y 0.756 0.267 0.512
8 Y 0.756 0.267 0.011
9 Sn 0.500 0.500 0.000
10 Sn 0.500 0.500 0.500
11 Sn 0.000 0.500 0.500
12 Te 0.500 0.000 0.000
13 Te 0.500 0.000 0.500
14 Te 0.000 0.000 0.000
15 Te 0.000 0.000 0.500
16 Se 0.000 0.500 0.000

# 10
The following is a PBE calculation of an optimized crystal structure of LiAlCo2, from Alexandria via LeMat-Bulk.

Results
**ΔE_f**: -0.1 eV per formula unit

a b c (Å): 2.560 3.655 5.071
angles (deg): 90.00 90.00 90.00
Site moments in Bohr magnetons follow the coordinates.
Positions (direct):
1 Al 0.500 0.500 0.750  -0.02
2 Co 0.000 0.000 0.997  1.15
3 Co 0.000 0.000 0.503  1.15
4 Li 0.500 0.500 0.250  -0.02

# 11
The following is a PBE calculation of an optimized crystal structure of SrTe2PtN, from Alexandria via LeMat-Bulk.

Results
**Energy relative to the lowest polymorph listed for this composition**: 8.02 eV/f.u.

a b c (Å): 6.088 6.088 4.633
angles (deg): 90.00 90.00 90.00
Site moments in Bohr magnetons follow the coordinates.
Positions (direct):
1 Sr 0.000 0.000 0.000  0.04
2 Te 0.000 0.500 0.000  0.04
3 Te 0.500 0.000 0.000  0.04
4 Pt 0.500 0.500 0.500  -0.01
5 N 0.000 0.000 0.500  1.37

# 12
The following is a PBE calculation of an optimized crystal structure of Sm2HoSe4, from Alexandria via LeMat-Bulk.

Results
**Energy relative to the lowest polymorph listed for this composition**: 0.32 eV/f.u.

a b c (Å): 3.994 7.163 13.985
angles (deg): 90.00 90.00 106.19
Positions (direct):
1 Sm 0.130 0.260 0.429
2 Sm 0.870 0.740 0.929
3 Sm 0.130 0.260 0.071
4 Sm 0.870 0.740 0.571
5 Ho 0.628 0.256 0.750
6 Ho 0.372 0.744 0.250
7 Se 0.780 0.560 0.125
8 Se 0.780 0.560 0.375
9 Se 0.220 0.440 0.875
10 Se 0.220 0.440 0.625
11 Se 0.978 0.956 0.750
12 Se 0.022 0.044 0.250
13 Se 0.500 0.000 0.000
14 Se 0.500 0.000 0.500